[1]
Ho2TiS: relaxed, PBE-GGA.

Summary:
Total moment ... 1.7 μB/f.u.

a = 3.5130 Å, b = 3.5130 Å, c = 28.0691 Å
α = 90.00°, β = 90.00°, γ = 120.00°
Space group R-3m (No. 166, hexagonal axes)
One atom of each set of equivalent atoms:
1 Ho 0.0000 0.0000 0.1052
2 Ti 0.0000 0.0000 0.0000
3 S 0.0000 0.0000 0.5000

***

[2]
DyEr2TmS4: relaxed, PBE-GGA.

Summary:
Total moment ... 0.0 μB/f.u.

a = 6.720 Å, b = 3.835 Å, c = 6.721 Å
α = 90.00°, β = 109.07°, γ = 90.00°
Space group P2/m (No. 10)
One atom of each set of equivalent atoms:
1 Dy 0.000 0.000 0.000
2 Er 0.000 0.500 0.500
3 Er 0.500 0.000 0.500
4 Tm 0.500 0.500 0.000
5 S 0.253 0.000 0.750
6 S 0.253 0.500 0.252

***

Values of ΔE_f (raw), in order: -0.435; -1.955, all in eV/atom.